Model i:
AcIn3Au3 | PBE | optimized geometry

Geometry as extended XYZ:
```
14
Lattice="-0.764 -6.220 -4.162 -0.894 -4.078 6.258 -7.430 1.130 -0.325" Properties=species:S:1:pos:R:3 pbc="T T T"
Ac -4.544 -4.584 0.885
Ac 0.000 0.000 0.000
Au -3.939 -0.455 1.402
Au -4.386 -2.494 4.531
Au -5.955 -2.262 -2.325
Au -1.020 -6.704 0.007
Au -2.240 -2.827 -2.162
Au -0.638 -3.594 2.088
In -3.906 -0.990 -1.203
In -2.305 -1.757 3.048
In -1.052 -6.168 2.612
In -4.288 -4.100 -3.284
In -6.020 -1.192 2.885
In -0.605 -4.129 -0.517
```

N(E_F) ... 5.0 states/eV/f.u.
M_tot ... 0.0 μB/f.u.
Crystal system ... cubic
Theoretical density ... 9.1 g/cm³

Model ii:
AcIn3Au3 | PBE | optimized geometry

Geometry as extended XYZ:
```
14
Lattice="4.939 0.000 0.000 0.000 7.898 -4.510 0.000 -0.041 9.100" Properties=species:S:1:pos:R:3 pbc="T T T"
Ac 3.704 2.607 4.565
Ac 1.235 5.250 0.025
In 3.704 6.155 -3.201
In 3.704 2.005 0.860
In 3.704 7.597 2.425
In 1.235 1.701 7.792
In 1.235 5.851 3.730
In 1.235 0.259 2.166
Au 3.704 7.315 -0.599
Au 3.704 3.674 -1.447
Au 3.704 4.764 2.124
Au 1.235 0.542 5.190
Au 1.235 4.183 6.037
Au 1.235 3.093 2.466
```

N(E_F) ... 3.4 states/eV/f.u.
M_tot ... 0.0 μB/f.u.
Crystal system ... hexagonal
Theoretical density ... 10.9 g/cm³

If we sort the structures by their calculated energies, the order from most to least stable is model ii, model i.

Model i:
Ac7In2Au2 | PBE | optimized geometry

Geometry as extended XYZ:
```
11
Lattice="-6.645 3.601 -0.616 -1.691 -4.216 -6.386 -1.012 -6.146 4.324" Properties=species:S:1:pos:R:3 pbc="T T T"
Ac -7.601 -0.599 -0.155
Ac -5.576 -7.435 -0.667
Ac -1.747 -6.162 -2.522
Ac -3.771 0.674 -2.009
Ac 0.000 0.000 0.000
Ac -5.094 -4.423 -2.921
Ac -4.254 -2.339 0.244
In -7.247 -4.236 -0.092
In -2.101 -2.525 -2.585
Au -6.709 -3.430 -5.574
Au -2.639 -3.331 2.897
```

N(E_F) ... 13.4 states/eV/f.u.
M_tot ... 0.0 μB/f.u.
Crystal system ... orthorhombic
Theoretical density ... 8.6 g/cm³

Model ii:
Ac7In2Au2 | PBE | optimized geometry

Geometry as extended XYZ:
```
11
Lattice="-2.355 -3.209 -1.157 7.207 -6.196 -4.913 4.278 -7.908 5.799" Properties=species:S:1:pos:R:3 pbc="T T T"
Ac -0.098 -5.388 0.292
Ac 4.651 -12.240 2.202
Ac 3.182 -9.465 4.922
Ac 3.246 -7.229 -1.410
Ac 6.452 -9.752 -0.937
Ac 8.642 -12.268 1.582
Ac 3.044 -5.912 2.774
In 6.558 -6.575 -2.537
In 4.120 -8.916 1.491
Au 7.239 -12.899 -1.237
Au 2.465 -4.078 -1.132
```

N(E_F) ... 12.0 states/eV/f.u.
M_tot ... 0.0 μB/f.u.
Crystal system ... orthorhombic
Theoretical density ... 8.9 g/cm³

If we sort the structures by their calculated energies, the order from most to least stable is model ii, model i.

Model i:
Ac2In3Au2 | PBE | optimized geometry

Geometry as extended XYZ:
```
14
Lattice="4.637 0.000 -1.106 0.000 7.841 0.000 0.140 0.000 10.866" Properties=species:S:1:pos:R:3 pbc="T T T"
Ac 0.806 1.960 3.383
Ac 3.971 5.881 6.377
Ac 4.484 1.960 8.531
Ac 0.293 5.881 1.229
In 1.101 5.881 4.617
In 3.677 1.960 5.143
In 2.614 3.358 0.688
In 2.163 4.483 9.072
In 2.163 7.279 9.072
In 2.614 0.563 0.688
Au 3.224 7.393 3.246
Au 1.553 0.448 6.514
Au 1.553 3.472 6.514
Au 3.224 4.369 3.246
```

N(E_F) ... 6.5 states/eV/f.u.
M_tot ... 0.0 μB/f.u.
Crystal system ... orthorhombic
Theoretical density ... 10.0 g/cm³

Model ii:
Ac2In3Au2 | PBE | optimized geometry

Geometry as extended XYZ:
```
7
Lattice="4.567 0.000 0.000 -2.283 5.715 0.121 0.000 -1.157 7.503" Properties=species:S:1:pos:R:3 pbc="T T T"
Ac 2.283 0.964 2.551
Ac 0.000 3.594 5.074
In 0.000 3.356 1.035
In 0.000 0.000 0.000
In 2.283 1.202 6.590
Au 0.000 0.366 4.886
Au 2.283 4.192 2.738
```

N(E_F) ... 4.2 states/eV/f.u.
M_tot ... 0.0 μB/f.u.
Crystal system ... monoclinic
Theoretical density ... 10.1 g/cm³

If we sort the structures by their calculated energies, the order from most to least stable is model ii, model i.

Model i:
Ac4In2Au | PBE | optimized geometry

Geometry as extended XYZ:
```
7
Lattice="-0.480 -2.256 -3.460 -2.711 -5.309 3.837 -6.465 7.416 -1.440" Properties=species:S:1:pos:R:3 pbc="T T T"
Ac -6.438 2.625 -3.318
Ac -3.217 -2.774 2.254
Ac -2.779 -0.963 -1.486
Ac -6.877 0.814 0.422
In -5.718 -2.465 -0.099
In -3.938 2.316 -0.964
Au 0.000 0.000 0.000
```

N(E_F) ... 8.1 states/eV/f.u.
M_tot ... 0.0 μB/f.u.
Crystal system ... monoclinic
Theoretical density ... 8.4 g/cm³

Model ii:
Ac4In2Au | PBE | optimized geometry

Geometry as extended XYZ:
```
7
Lattice="-3.177 4.069 2.839 -4.480 -0.902 -3.719 0.769 -7.554 5.574" Properties=species:S:1:pos:R:3 pbc="T T T"
Ac -5.735 -2.138 2.760
Ac -1.152 -2.249 1.934
Ac -2.240 -0.451 -1.860
Ac -1.588 2.035 1.420
Au 0.000 0.000 0.000
In -4.548 0.178 0.768
In -2.339 -4.565 3.925
```

N(E_F) ... 7.9 states/eV/f.u.
M_tot ... 0.0 μB/f.u.
Crystal system ... tetragonal
Theoretical density ... 7.6 g/cm³

If we sort the structures by their calculated energies, the order from most to least stable is model i, model ii.

Model i:
AcInAu4 | PBE | optimized geometry

Geometry as extended XYZ:
```
12
Lattice="-0.317 -4.802 1.898 6.984 -1.223 -1.927 2.507 4.966 5.934" Properties=species:S:1:pos:R:3 pbc="T T T"
Ac 7.045 1.057 3.851
Ac 2.129 -2.115 2.054
In 5.887 -0.208 0.457
In 3.287 -0.851 5.448
Au 4.102 0.649 2.327
Au 5.072 -1.707 3.578
Au 1.548 1.096 3.032
Au 7.626 -2.155 2.873
Au 5.474 -2.886 0.662
Au 3.699 1.828 5.243
Au 3.492 -0.611 -0.964
Au 0.000 0.000 0.000
```

N(E_F) ... 2.3 states/eV/f.u.
M_tot ... 0.0 μB/f.u.
Crystal system ... orthorhombic
Theoretical density ... 12.8 g/cm³

Model ii:
AcInAu4 | PBE | optimized geometry

Geometry as extended XYZ:
```
24
Lattice="-1.068 -3.844 0.707 2.787 -2.000 -6.660 17.306 -3.295 8.231" Properties=species:S:1:pos:R:3 pbc="T T T"
Ac 7.646 -2.467 -1.859
Ac 12.446 -2.828 3.430
Ac 3.449 -0.933 0.137
Ac 16.644 -4.362 1.434
In 3.063 -1.555 -3.822
In 17.030 -3.741 5.394
In 7.881 -1.737 2.462
In 12.211 -3.558 -0.891
Au 5.525 -4.355 -3.719
Au 13.499 -4.783 5.997
Au 5.520 -3.620 0.271
Au 13.504 -5.519 2.008
Au 3.305 -4.052 -5.423
Au 15.719 -5.087 7.702
Au 8.192 -4.248 0.894
Au 10.832 -4.891 1.384
Au 9.734 -5.092 -1.367
Au 9.290 -4.047 3.646
Au 1.067 -2.707 -1.496
Au 17.957 -6.432 3.775
Au 5.384 -3.090 2.942
Au 13.640 -6.049 -0.663
Au 3.752 -3.514 -1.827
Au 15.273 -5.625 4.106
```

N(E_F) ... 2.9 states/eV/f.u.
M_tot ... 0.0 μB/f.u.
Crystal system ... orthorhombic
Theoretical density ... 12.7 g/cm³

Model iii:
AcInAu4 | PBE | optimized geometry

Geometry as extended XYZ:
```
6
Lattice="5.773 0.000 0.000 2.887 5.000 0.000 2.887 1.667 4.714" Properties=species:S:1:pos:R:3 pbc="T T T"
Ac 2.887 1.667 1.178
Au 5.773 3.333 0.580
Au 5.773 1.658 2.949
Au 7.224 4.171 2.949
Au 4.323 4.171 2.949
In 0.000 0.000 0.000
```

N(E_F) ... 1.7 states/eV/f.u.
M_tot ... 0.0 μB/f.u.
Crystal system ... cubic
Theoretical density ... 13.8 g/cm³

If we sort the structures by their calculated energies, the order from most to least stable is model iii, model ii, model i.

Model i:
AcIn2Au2 | PBE | optimized geometry

Geometry as extended XYZ:
```
5
Lattice="4.160 0.000 -1.659 -0.662 4.107 -1.659 0.412 0.484 7.078" Properties=species:S:1:pos:R:3 pbc="T T T"
Ac 0.000 0.000 0.000
In 3.161 1.269 1.880
In 0.750 3.322 1.880
Au 2.218 2.604 -0.483
Au 1.692 1.987 4.242
```

N(E_F) ... 2.4 states/eV/f.u.
M_tot ... 0.0 μB/f.u.
Crystal system ... tetragonal
Theoretical density ... 11.1 g/cm³

Model ii:
AcIn2Au2 | PBE | optimized geometry

Geometry as extended XYZ:
```
10
Lattice="-2.892 -4.147 0.094 -0.174 -0.110 -5.052 8.390 -5.854 -0.161" Properties=species:S:1:pos:R:3 pbc="T T T"
Ac -0.225 -4.689 -3.797
Ac 5.550 -5.422 -1.322
In 2.980 -6.570 -3.580
In 0.025 -1.922 -1.494
In 5.300 -8.189 -3.624
In 2.344 -3.540 -1.539
Au -0.731 -0.939 -3.996
Au 1.861 -6.245 -1.042
Au 3.463 -3.865 -4.076
Au -2.334 -3.318 -0.962
```

N(E_F) ... 2.7 states/eV/f.u.
M_tot ... 0.0 μB/f.u.
Crystal system ... orthorhombic
Theoretical density ... 10.8 g/cm³

If we sort the structures by their calculated energies, the order from most to least stable is model i, model ii.